The following is a GGA+U calculation of an optimized crystal structure of Na3Mn2TeO6, from Alexandria.

Computed properties:
Magnetic moment   9.20 μB per formula unit
Calculated volume   12.5 Å³ per atom
DOS at the Fermi energy   5.66 states/eV/cell
Calculated total energy   -5.8238 eV per atom

abc: 5.6314 9.7388 5.8012
angles: 90.00 109.02 90.00
Closest atoms and distances in Å follow each position.
Space group C2/m (No. 12)
Unique sites:
Na (0.0000, 0.0000, 0.0000) x2  6 O 2.42-2.56
Na (0.0000, 0.3300, 0.0000) x4  6 O 2.42-2.52
Mn (0.0000, 0.1664, 0.5000) x4  6 O 2.24-2.26
Te (0.0000, 0.5000, 0.5000) x2  6 O 2.10-2.11
O (0.2268, 0.3428, 0.7103) x8  1 Te 2.11, 2 Mn 2.25-2.26
O (0.2442, 0.5000, 0.2926) x4  1 Te 2.10, 2 Mn 2.24